Entry 1:
4
Lattice="3.641 0.000 0.000 0.000 3.641 0.000 0.000 0.000 5.437" Properties=species:S:1:pos:R:3 comment="NiPb PBEsol relaxed" formation_energy_ev_per_atom=0.2617 spacegroup=P4/nmm pbc="T T T"
Ni 0.910 0.910 0.869
Ni 2.731 2.731 4.567
Pb 0.910 0.910 3.739
Pb 2.731 2.731 1.698



Entry 2:
5
Lattice="4.778 0.000 0.000 0.000 4.778 0.000 0.000 0.000 5.279" Properties=species:S:1:pos:R:3 comment="ZrPSeS2 PBEsol relaxed" e_form_raw_mev_per_atom=122 spacegroup=P4/mmm pbc="T T T"
Zr 0.000 0.000 0.000
P 0.000 0.000 2.639
Se 2.389 2.389 2.639
S 0.000 2.389 0.000
S 2.389 0.000 0.000



Entry 3:
5
Lattice="2.144 1.238 9.954 -2.144 1.238 9.954 0.000 -2.476 9.954" Properties=species:S:1:pos:R:3 comment="Bi2Te2Se PBEsol relaxed" e_form_raw_mev_per_atom=-294 spacegroup=R-3m pbc="T T T"
Bi 0.000 0.000 3.156
Bi 0.000 0.000 26.704
Te 0.000 0.000 8.569
Te 0.000 0.000 21.292
Se 0.000 0.000 14.930



Entry 4:
5
Lattice="4.047 0.000 0.000 0.000 4.047 0.000 0.000 0.000 6.762" Properties=species:S:1:pos:R:3 comment="BiPtIO2 PBEsol relaxed" e_form_raw_mev_per_atom=147 spacegroup=P4/mmm pbc="T T T"
Bi 0.000 0.000 0.000
Pt 2.024 2.024 3.381
I 0.000 0.000 3.381
O 0.000 2.024 0.000
O 2.024 0.000 0.000



Entry 5:
5
Lattice="5.573 0.000 0.000 0.000 5.573 0.000 0.000 0.000 5.573" Properties=species:S:1:pos:R:3 comment="NiI3Cl PBEsol relaxed" e_form_raw_mev_per_atom=1037 spacegroup=Pm-3m pbc="T T T"
Ni 0.000 0.000 0.000
I 0.000 2.787 2.787
I 2.787 0.000 2.787
I 2.787 2.787 0.000
Cl 2.787 2.787 2.787



Entry 6:
14
Lattice="6.804 0.000 0.000 0.000 6.804 0.000 0.000 0.000 3.505" Properties=species:S:1:pos:R:3 comment="ZrFe4P2 PBEsol relaxed" formation_energy_ev_per_atom=-0.8087 spacegroup=P4_2/mnm pbc="T T T"
Zr 0.000 0.000 0.000
Zr 3.402 3.402 1.752
Fe 0.530 2.339 1.752
Fe 1.063 3.932 0.000
Fe 2.339 0.530 1.752
Fe 2.872 5.741 0.000
Fe 3.932 1.063 0.000
Fe 4.465 6.274 1.752
Fe 5.741 2.872 0.000
Fe 6.274 4.465 1.752
P 1.517 5.288 1.752
P 1.886 1.886 0.000
P 4.919 4.919 0.000
P 5.288 1.517 1.752



Entry 7:
4
Lattice="3.391 0.000 0.000 0.000 3.391 0.000 0.000 0.000 5.704" Properties=species:S:1:pos:R:3 comment="Zn2CdAu PBEsol relaxed" formation_energy_ev_per_atom=-0.0759 spacegroup=P4/mmm pbc="T T T"
Zn 0.000 0.000 1.331
Zn 0.000 0.000 4.372
Cd 1.695 1.695 2.852
Au 1.695 1.695 0.000



Entry 8:
4
Lattice="4.347 0.000 0.000 0.000 4.347 0.000 0.000 0.000 5.479" Properties=species:S:1:pos:R:3 comment="SrAg2Cl PBEsol relaxed" e_form_raw_mev_per_atom=-444 spacegroup=P4/mmm pbc="T T T"
Sr 0.000 0.000 0.000
Ag 2.173 2.173 1.367
Ag 2.173 2.173 4.112
Cl 0.000 0.000 2.740